No. 1
First-principles (PBE) data for MgSc2Au after structural relaxation, as listed in Alexandria via LeMat-Bulk.

```
MgSc2Au
1.0
-1.848 1.848 7.357
1.848 -1.848 7.357
1.848 1.848 -7.357
Mg Sc Au
1 2 1
Cartesian
0.000 0.000 0.000
0.000 0.000 4.633
0.000 0.000 10.080
0.000 0.000 7.357
```

Summary:
The value obtained for the raw total energy is -4.452 eV per atom. Its space-group type is I4/mmm. As for the energy of formation: -0.069 eV per atom.



No. 2
First-principles (PBE) data for Mg3ScAu after structural relaxation, as listed in Alexandria via LeMat-Bulk.

```
Mg3ScAu
1.0
5.032 0.000 0.000
0.000 5.032 0.000
0.000 0.000 5.032
Mg Sc Au
3 1 1
Cartesian
0.000 0.000 2.516
0.000 2.516 0.000
2.516 0.000 0.000
2.516 2.516 2.516
0.000 0.000 0.000
```

Summary:
The relative energy among the computed polymorphs is 0.00 eV/f.u. The value obtained for the raw total energy is -2.860 eV per atom. Its space-group type is Pm-3m. As for the energy of formation: 0.019 eV per atom.



No. 3
First-principles (PBE) data for MgScAu2 after structural relaxation, as listed in Alexandria via LeMat-Bulk.

```
MgScAu2
1.0
-2.031 2.131 4.321
2.031 -2.131 4.321
2.031 2.131 -4.321
Mg Sc Au
1 1 2
Cartesian
0.000 0.000 0.000
0.000 2.131 2.122
2.031 0.000 2.112
0.000 0.000 4.286
```

Summary:
The value obtained for the raw total energy is -4.203 eV per atom. Its space-group type is Imm2. As for the energy of formation: -0.583 eV per atom.